AlOsW2, optimized geometry, DFT GGA-PBE; total moment = 0.00 μB/f.u.; space-group type = Pmmm (47); ΔH_f (0 K) = -32.0 meV per atom; D(E_F) = 2.5 states/eV/f.u.
1.0
3.113 0.000 0.000
0.000 4.334 0.000
0.000 0.000 4.494
Os Al W
1 1 2
Cartesian
0.000 2.167 2.247
1.557 0.000 2.247
0.000 0.000 0.000
1.557 2.167 0.000